No. 1
The following is a DFT calculation (PBE-GGA) of crystalline NdTaSb at its relaxed geometry.

Summary:
total magnetization = 0.0000 μB/atom
mass density = 9.604 g/cm³
E = -7.220 eV/atom

Lattice parameters (Å, degrees): 5.9570 5.9570 8.0480 119.51 119.51 39.42
Positions (direct):
Nd (0.0633, 0.0633, 0.3189)
Nd (0.9367, 0.9367, 0.6811)
Ta (0.3587, 0.3587, 0.9575)
Ta (0.6413, 0.6413, 0.0425)
Sb (0.3277, 0.3277, 0.2920)
Sb (0.6723, 0.6723, 0.7080)

No. 2
The following is a DFT calculation (PBE-GGA) of crystalline TbNd3Sb4 at its relaxed geometry.

Summary:
total magnetization = 0.0000 μB/atom
mass density = 6.984 g/cm³
E = -5.605 eV/atom

Lattice parameters (Å, degrees): 6.3536 6.3536 6.3536 90.00 90.00 90.00
Positions (direct):
Tb (0.0000, 0.0000, 0.0000)
Nd (0.0000, 0.5000, 0.5000)
Nd (0.5000, 0.0000, 0.5000)
Nd (0.5000, 0.5000, 0.0000)
Sb (0.0000, 0.0000, 0.5000)
Sb (0.0000, 0.5000, 0.0000)
Sb (0.5000, 0.0000, 0.0000)
Sb (0.5000, 0.5000, 0.5000)

No. 3
The following is a DFT calculation (PBE-GGA) of crystalline TbNdSb2 at its relaxed geometry.

Summary:
total magnetization = 0.0000 μB/atom
mass density = 7.216 g/cm³
energy above the most stable polymorph in this dataset = 0 meV/atom

Lattice parameters (Å, degrees): 7.7252 7.7252 7.7252 33.60 33.60 33.60
Positions (direct):
Tb (0.0000, 0.0000, 0.0000)
Nd (0.5000, 0.5000, 0.5000)
Sb (0.2526, 0.2526, 0.2526)
Sb (0.7474, 0.7474, 0.7474)

No. 4
The following is a DFT calculation (PBE-GGA) of crystalline Tb2Nd3Sb3 at its relaxed geometry.

Summary:
total magnetization = 0.0002 μB/atom
mass density = 7.458 g/cm³
E = -5.317 eV/atom

Lattice parameters (Å, degrees): 7.6172 7.6172 15.4853 90.00 90.00 146.43
Positions (direct):
Tb (0.2385, 0.7615, 0.6019)
Tb (0.2385, 0.7615, 0.8981)
Tb (0.7615, 0.2385, 0.1019)
Tb (0.7615, 0.2385, 0.3981)
Nd (0.0458, 0.9542, 0.1141)
Nd (0.0458, 0.9542, 0.3859)
Nd (0.3856, 0.6144, 0.2500)
Nd (0.6144, 0.3856, 0.7500)
Nd (0.9542, 0.0458, 0.6141)
Nd (0.9542, 0.0458, 0.8859)
Sb (0.3869, 0.6131, 0.7500)
Sb (0.3919, 0.6081, 0.0391)
Sb (0.3919, 0.6081, 0.4609)
Sb (0.6081, 0.3919, 0.5391)
Sb (0.6081, 0.3919, 0.9609)
Sb (0.6131, 0.3869, 0.2500)